[1]
The following is a PBE calculation of La2Ga2Ni after structural relaxation, from Alexandria.

a b c (Å): 3.826 6.223 10.843
angles (deg): 84.13 79.84 72.10
Positions (direct):
Ga 0.382 0.124 0.112
Ga 0.618 0.876 0.888
Ga 0.973 0.646 0.409
Ni 0.435 0.830 0.300
Ga 0.027 0.354 0.591
La 0.279 0.799 0.643
Ni 0.565 0.170 0.700
La 0.098 0.687 0.116
La 0.721 0.201 0.357
La 0.902 0.313 0.884

Properties
Formation enthalpy at 0 K in eV/f.u.: -2.74
Final energy in eV per atom: -4.887

[2]
The following is a PBE calculation of LiCe2O3 after structural relaxation, from Alexandria.

a b c (Å): 3.461 3.461 8.112
angles (deg): 90.00 90.00 120.00
Positions (direct):
Li 0.000 0.000 0.500
O 0.667 0.333 0.340
Ce 0.333 0.667 0.180
Ce 0.667 0.333 0.820
O 0.000 0.000 0.000
O 0.333 0.667 0.660

Properties
Final energy in eV per atom: -7.474
Formation energy from raw total energies in eV per atom: -2.698

no.,density of states at the Fermi level (states/eV/cell)
1,8.3
2,4.1